The following is a PBE calculation of a geometry-optimized BaAg2Hg structure, from the Alexandria database.

Cell lengths 4.9354, 4.9354, 6.2016 Å; angles 113.64, 113.64, 60.15 degrees
Sites, in units of the cell vectors:
Ba1 0.0000 0.0000 0.0000
Ag1 0.2031 0.2031 0.6101
Ag2 0.7969 0.7969 0.3899
Hg1 0.5000 0.5000 0.5000

Properties
raw total energy	-2.222	eV/atom
ΔE_f	-5.545	kcal/mol of atoms
N(E_F)	1.46	states/eV/f.u.
total moment	0.00	μB/f.u.
space group	C2/m, No. 12